Compound: SnWSI2
Source: Alexandria
Functional: PBE-GGA
Structure: optimized geometry

a b c (Å): 6.065 6.065 4.854
angles (deg): 90.00 90.00 90.00
Sites, in units of the cell vectors:
Sn: 0.000 0.000 0.000
W: 0.500 0.500 0.500
S: 0.000 0.000 0.500
I: 0.000 0.500 0.000
I: 0.500 0.000 0.000

Computed properties:
- electronic total energy (eV per atom) = -3.528
- magnetic moment (μB/cell) = 4.9

=====

Compound: SrNdGe2Pd5
Source: Alexandria
Functional: PBE-GGA
Structure: optimized geometry

a b c (Å): 4.383 4.383 9.136
angles (deg): 90.00 90.00 90.00
Sites, in units of the cell vectors:
Sr: 0.000 0.000 0.000
Nd: 0.000 0.000 0.500
Ge: 0.500 0.500 0.147
Ge: 0.500 0.500 0.853
Pd: 0.000 0.500 0.278
Pd: 0.000 0.500 0.722
Pd: 0.500 0.000 0.278
Pd: 0.500 0.000 0.722
Pd: 0.500 0.500 0.500

Computed properties:
- energy of formation (meV/atom) = -748
- magnetic moment (μB/cell) = 0.0

=====

Compound: Be2AgHg
Source: Alexandria
Functional: PBE-GGA
Structure: optimized geometry

a b c (Å): 5.500 5.500 5.500
angles (deg): 105.89 105.89 116.90
Sites, in units of the cell vectors:
Be: 0.123 0.625 0.998
Be: 0.375 0.373 0.498
Be: 0.627 0.125 0.002
Be: 0.875 0.877 0.502
Ag: 0.000 0.000 0.000
Ag: 0.750 0.250 0.500
Hg: 0.250 0.750 0.500
Hg: 0.500 0.500 0.000

Computed properties:
- energy of formation (meV/atom) = 654
- magnetic moment (μB/cell) = 0.0

=====

Compound: ReAg2Pb
Source: Alexandria
Functional: PBE-GGA
Structure: optimized geometry

a b c (Å): 2.910 2.910 9.273
angles (deg): 90.00 90.00 90.00
Sites, in units of the cell vectors:
Re: 0.000 0.000 0.000
Ag: 0.500 0.500 0.217
Ag: 0.500 0.500 0.783
Pb: 0.000 0.000 0.500

Computed properties:
- energy of formation (meV/atom) = 670
- magnetic moment (μB/cell) = 0.0